# 1
The following is a DFT calculation (PBE) of crystalline Tb3Pm3Pr at its relaxed geometry.

a = 8.2176 Å, b = 6.4197 Å, c = 6.4197 Å
α = 103.12°, β = 115.26°, γ = 115.26°
Closest atoms and distances in Å follow each position.
Fractional coordinates of all 7 atoms:
1 Tb 0.4180 0.0000 0.4022  2 Pr 3.26-3.50, 5 Pm 3.34-3.60
2 Tb 0.0158 0.5978 0.5978  2 Pr 3.26-3.50, 5 Pm 3.34-3.60
3 Tb 0.4180 0.4022 0.0000  2 Pr 3.26-3.50, 5 Pm 3.34-3.60
4 Pm 0.9747 0.0000 0.3621  1 Pr 3.20, 3 Tb 3.34-3.54
5 Pm 0.6126 0.6379 0.6379  1 Pr 3.20, 3 Tb 3.34-3.54
6 Pm 0.9747 0.3621 0.0000  1 Pr 3.20, 3 Tb 3.34-3.54
7 Pr 0.5611 0.0000 0.0000  3 Pm 3.20, 6 Tb 3.26-3.50

SG	R3m, No. 160
E above lowest polymorph	2.08	kJ/mol of atoms
DFT formation energy	0.224	eV/atom
D(E_F)	1.555	states/eV per atom

***

# 2
The following is a DFT calculation (PBE) of crystalline PmSm12In6 at its relaxed geometry.

a = 8.3201 Å, b = 8.3201 Å, c = 8.3201 Å
α = 89.04°, β = 89.04°, γ = 89.04°
Closest atoms and distances in Å follow each position.
Fractional coordinates of all 19 atoms:
1 Sm 0.9242 0.8762 0.6152  3 Sm 3.06-3.36, 1 In 3.33
2 Sm 0.5284 0.4336 0.8075  4 In 3.30-3.42, 4 Sm 3.43-3.47
3 Sm 0.1925 0.4716 0.5664  4 In 3.30-3.42, 4 Sm 3.43-3.47
4 Sm 0.4716 0.5664 0.1925  4 In 3.30-3.42, 4 Sm 3.43-3.47
5 Sm 0.1238 0.3848 0.0758  3 Sm 3.06-3.36, 1 In 3.33
6 Sm 0.3848 0.0758 0.1238  3 Sm 3.06-3.36, 1 In 3.33
7 Sm 0.8075 0.5284 0.4336  4 In 3.30-3.42, 4 Sm 3.43-3.47
8 Sm 0.8762 0.6152 0.9242  3 Sm 3.06-3.36, 1 In 3.33
9 Sm 0.4336 0.8075 0.5284  4 In 3.30-3.42, 4 Sm 3.43-3.47
10 Sm 0.0758 0.1238 0.3848  3 Sm 3.06-3.36, 1 In 3.33
11 Sm 0.6152 0.9242 0.8762  3 Sm 3.06-3.36, 1 In 3.33
12 Sm 0.5664 0.1925 0.4716  4 In 3.30-3.42, 4 Sm 3.43-3.47
13 In 0.2772 0.1227 0.7414  1 Pm 3.29, 7 Sm 3.30-3.43, 2 In 3.50
14 In 0.1227 0.7414 0.2772  1 Pm 3.29, 7 Sm 3.30-3.43, 2 In 3.50
15 In 0.8773 0.2586 0.7228  1 Pm 3.29, 7 Sm 3.30-3.43, 2 In 3.50
16 In 0.7414 0.2772 0.1227  1 Pm 3.29, 7 Sm 3.30-3.43, 2 In 3.50
17 In 0.7228 0.8773 0.2586  1 Pm 3.29, 7 Sm 3.30-3.43, 2 In 3.50
18 In 0.2586 0.7228 0.8773  1 Pm 3.29, 7 Sm 3.30-3.43, 2 In 3.50
19 Pm 0.0000 0.0000 0.0000  6 In 3.29, 6 Sm 3.45

SG	R-3, No. 148
DFT formation energy	-0.225	eV/atom
D(E_F)	1.010	states/eV per atom

***

# 3
The following is a DFT calculation (PBE) of crystalline CePmGa2Ir2 at its relaxed geometry.

a = 4.4221 Å, b = 4.4221 Å, c = 7.3119 Å
α = 90.00°, β = 90.00°, γ = 120.00°
Closest atoms and distances in Å follow each position.
Fractional coordinates of all 6 atoms:
1 Ir 0.6667 0.3333 0.2655  3 Ga 2.55
2 Ir 0.3333 0.6667 0.7345  3 Ga 2.55
3 Ga 0.6667 0.3333 0.7470  3 Ir 2.55
4 Ga 0.3333 0.6667 0.2530  3 Ir 2.55
5 Pm 0.0000 0.0000 0.0000  6 Ga 3.15, 6 Ir 3.21
6 Ce 0.0000 0.0000 0.5000  6 Ir 3.08, 6 Ga 3.13

SG	P-3m1, No. 164
DFT formation energy	-0.754	eV/atom
D(E_F)	1.026	states/eV per atom

***

# 4
The following is a DFT calculation (PBE) of crystalline Nb4AlC at its relaxed geometry.

a = 4.8874 Å, b = 6.8343 Å, c = 6.3921 Å
α = 90.00°, β = 90.00°, γ = 90.00°
Closest atoms and distances in Å follow each position.
Fractional coordinates of all 12 atoms:
1 Nb 0.2530 0.8623 0.1373  2 C 2.22-2.23
2 Nb 0.7530 0.1377 0.6373  2 C 2.22-2.23
3 Nb 0.2119 0.2353 0.3733  1 C 2.14
4 Nb 0.7470 0.1377 0.1373  2 C 2.22-2.23
5 Nb 0.2881 0.2353 0.8733  1 C 2.14
6 Nb 0.2470 0.8623 0.6373  2 C 2.22-2.23
7 Nb 0.7119 0.7647 0.8733  1 C 2.14
8 Nb 0.7881 0.7647 0.3733  1 C 2.14
9 C 0.0000 0.0000 0.8880  6 Nb 2.14-2.23
10 C 0.5000 0.0000 0.3880  6 Nb 2.14-2.23
11 Al 0.5000 0.5000 0.5908  6 Nb 2.68-2.78
12 Al 0.0000 0.5000 0.0908  6 Nb 2.68-2.78

SG	Pnc2, No. 30
DFT formation energy	0.103	eV/atom
D(E_F)	0.932	states/eV per atom

***

# 5
The following is a DFT calculation (PBE) of crystalline NbCr2Pt8 at its relaxed geometry.

a = 3.9213 Å, b = 7.5491 Å, c = 7.3123 Å
α = 121.08°, β = 105.55°, γ = 90.00°
Closest atoms and distances in Å follow each position.
Fractional coordinates of all 11 atoms:
1 Pt 0.6639 0.4276 0.3277  3 Cr 2.65-2.80, 7 Pt 2.75-2.84, 1 Nb 2.79
2 Pt 0.8401 0.8401 0.6803  2 Nb 2.73, 8 Pt 2.75-2.84, 2 Cr 2.82
3 Pt 0.1599 0.1599 0.3197  2 Nb 2.73, 8 Pt 2.75-2.84, 2 Cr 2.82
4 Pt 0.3361 0.5724 0.6723  3 Cr 2.65-2.80, 7 Pt 2.75-2.84, 1 Nb 2.79
5 Pt 0.0000 0.2792 0.0000  2 Cr 2.62, 6 Pt 2.77-2.84, 2 Nb 2.88
6 Pt 0.0000 0.7208 0.0000  2 Cr 2.62, 6 Pt 2.77-2.84, 2 Nb 2.88
7 Pt 0.6639 0.9001 0.3277  3 Cr 2.65-2.80, 7 Pt 2.75-2.84, 1 Nb 2.79
8 Pt 0.3361 0.0999 0.6723  3 Cr 2.65-2.80, 7 Pt 2.75-2.84, 1 Nb 2.79
9 Cr 0.1701 0.6701 0.3401  10 Pt 2.62-2.82
10 Cr 0.8299 0.3299 0.6599  10 Pt 2.62-2.82
11 Nb 0.5000 0.0000 0.0000  12 Pt 2.73-2.88

SG	Immm, No. 71
DFT formation energy	-0.338	eV/atom
D(E_F)	0.718	states/eV per atom

***

# 6
The following is a DFT calculation (PBE) of crystalline CeLuPaAl at its relaxed geometry.

a = 5.1381 Å, b = 5.1381 Å, c = 5.1381 Å
α = 60.00°, β = 60.00°, γ = 60.00°
Closest atoms and distances in Å follow each position.
Fractional coordinates of all 4 atoms:
1 Ce 0.5000 0.5000 0.5000  4 Lu 3.15, 4 Pa 3.15
2 Al 0.0000 0.0000 0.0000  4 Pa 3.15, 4 Lu 3.15
3 Lu 0.2500 0.2500 0.2500  4 Ce 3.15, 4 Al 3.15
4 Pa 0.7500 0.7500 0.7500  4 Al 3.15, 4 Ce 3.15

SG	F-43m, No. 216
DFT formation energy	0.114	eV/atom
D(E_F)	2.527	states/eV per atom

***

# 7
The following is a DFT calculation (PBE) of crystalline Ce2CdSi4Pt3 at its relaxed geometry.

a = 4.2698 Å, b = 4.2698 Å, c = 10.1324 Å
α = 90.00°, β = 90.00°, γ = 90.00°
Closest atoms and distances in Å follow each position.
Fractional coordinates of all 10 atoms:
1 Si 0.5000 0.5000 0.0000  4 Pt 2.44
2 Si 0.0000 0.0000 0.0000  4 Pt 2.44
3 Si 0.5000 0.0000 0.6472  3 Pt 2.40-2.60, 2 Cd 2.60
4 Si 0.0000 0.5000 0.3528  3 Pt 2.40-2.60, 2 Cd 2.60
5 Pt 0.0000 0.0000 0.5000  4 Si 2.60
6 Pt 0.0000 0.5000 0.1161  5 Si 2.40-2.44
7 Pt 0.5000 0.0000 0.8839  5 Si 2.40-2.44
8 Cd 0.5000 0.5000 0.5000  4 Si 2.60
9 Ce 0.5000 0.0000 0.2403  8 Si 3.23-3.24, 7 Pt 3.27-3.61, 2 Cd 3.39
10 Ce 0.0000 0.5000 0.7597  8 Si 3.23-3.24, 7 Pt 3.27-3.61, 2 Cd 3.39

SG	P-4m2, No. 115
formation energy from raw total energies	-880	kJ/mol of formula units
D(E_F)	0.970	states/eV per atom

***

# 8
The following is a DFT calculation (PBE) of crystalline Sr2NiSnRh at its relaxed geometry.

a = 6.2177 Å, b = 4.8390 Å, c = 6.2177 Å
α = 90.00°, β = 90.00°, γ = 90.00°
Closest atoms and distances in Å follow each position.
Fractional coordinates of all 5 atoms:
1 Sr 0.0000 0.0000 0.5000  2 Sn 3.11
2 Sr 0.5000 0.0000 0.0000  2 Sn 3.11
3 Sn 0.0000 0.0000 0.0000  2 Rh 2.42
4 Ni 0.5000 0.5000 0.5000  8 Sr 3.94, 4 Rh 4.40
5 Rh 0.0000 0.5000 0.0000  2 Sn 2.42

SG	P4/mmm, No. 123
DFT formation energy	0.575	eV/atom
D(E_F)	1.539	states/eV per atom